# 1
CuNi8Pd6: relaxed, PBE.

```
CuNi8Pd6
1.0
5.731 0.000 0.000
-0.207 5.950 0.000
-1.673 -0.570 5.688
Cu Ni Pd
1 8 6
Cartesian
0.000 0.000 0.000 Cu
5.098 1.806 1.911 Ni
-1.247 3.574 3.777 Ni
1.046 2.455 3.723 Ni
1.680 0.679 1.840 Ni
0.444 4.248 5.614 Ni
3.406 1.132 0.074 Ni
2.171 4.701 3.848 Ni
2.805 2.925 1.964 Ni
1.148 2.413 0.006 Pd
0.108 0.040 3.795 Pd
0.531 4.197 1.904 Pd
3.320 1.183 3.784 Pd
3.742 5.340 1.893 Pd
2.703 2.967 5.682 Pd
```

Volume in A^3/atom: 12.93
M_tot in μB/f.u.: 7.21
Total DFT energy (no corrections) in eV per atom: -5.393
ρ in g cm⁻³: 10.03

---

# 2
Al3ZnIr: relaxed, PBE.

```
Al3ZnIr
1.0
4.779 0.000 0.000
0.000 4.779 0.000
0.000 0.000 4.779
Al Zn Ir
3 1 1
Cartesian
0.000 0.000 2.389 Al
0.000 2.389 0.000 Al
2.389 0.000 0.000 Al
2.389 2.389 2.389 Zn
0.000 0.000 0.000 Ir
```

Volume in A^3/atom: 21.83
M_tot in μB/f.u.: 0.00
Polymorph energy (0 for the lowest one) in kJ per mole of atoms: 0.00
Total DFT energy (no corrections) in eV per atom: -4.404
ρ in g cm⁻³: 5.15

---

# 3
K3TbTc2O9: relaxed, PBE.

```
K3TbTc2O9
1.0
5.765 0.000 0.000
-2.883 4.993 0.000
0.000 0.000 7.153
K Tb Tc O
3 1 2 9
Cartesian
0.000 0.000 0.000 K
0.000 3.329 4.817 K
2.883 1.664 2.336 K
0.000 0.000 3.576 Tb
0.000 3.329 1.138 Tc
2.883 1.664 6.015 Tc
-1.441 2.496 0.000 O
0.000 1.787 2.211 O
-1.335 4.099 2.211 O
1.548 0.894 4.942 O
2.883 0.000 0.000 O
1.441 2.496 0.000 O
1.335 4.099 2.211 O
4.218 0.894 4.942 O
2.883 3.206 4.942 O
```

Volume in A^3/atom: 13.73
M_tot in μB/f.u.: 0.00
Raw formation energy in eV per atom: -1.891
Total DFT energy (no corrections) in eV per atom: -6.776
ρ in g cm⁻³: 4.97

---

Q: What is the volume in the third record?
A: 13.73 A^3/atom